1.
Material: Pm8Sm4Tm
Method: DFT, PBE
State: optimized geometry

Results
N(E_F) = 20.3 states/eV/cell
SG = No. 166
VASP energy = -4.24 eV per atom
ΔE_f = 0.48 eV per atom

abc: 7.8837 7.8837 7.8837
angles: 90.78 90.78 90.78
With the nearest neighbours (Å) after each atom.
Sites, in units of the cell vectors:
Pm 0.2371 0.2371 0.7537  4 Sm 3.30-3.47, 1 Tm 3.56
Pm 0.2371 0.7537 0.2371  4 Sm 3.30-3.47, 1 Tm 3.56
Pm 0.2382 0.2382 0.2382  4 Sm 3.21-3.48, 1 Tm 3.53
Pm 0.2463 0.7629 0.7629  4 Sm 3.30-3.47, 1 Tm 3.56
Pm 0.7537 0.2371 0.2371  4 Sm 3.30-3.47, 1 Tm 3.56
Pm 0.7618 0.7618 0.7618  4 Sm 3.21-3.48, 1 Tm 3.53
Pm 0.7629 0.2463 0.7629  4 Sm 3.30-3.47, 1 Tm 3.56
Pm 0.7629 0.7629 0.2463  4 Sm 3.30-3.47, 1 Tm 3.56
Sm 0.0000 0.0000 0.0000  8 Pm 3.21-3.30
Sm 0.0000 0.5000 0.5000  8 Pm 3.45-3.48
Sm 0.5000 0.0000 0.5000  8 Pm 3.45-3.48
Sm 0.5000 0.5000 0.0000  8 Pm 3.45-3.48
Tm 0.5000 0.5000 0.5000  8 Pm 3.53-3.56, 6 Sm 3.94


2.
Material: Pm2SmTm8
Method: DFT, PBE
State: optimized geometry

Results
N(E_F) = 15.0 states/eV/cell
SG = No. 12
Relative energy among the computed polymorphs = 0.00 kcal/mol of atoms
VASP energy = -4.52 eV per atom
ΔE_f = 0.03 eV per atom

abc: 9.3405 9.3405 7.8922
angles: 104.66 104.66 31.02
With the nearest neighbours (Å) after each atom.
Sites, in units of the cell vectors:
Pm 0.2274 0.2274 0.1371  10 Tm 3.52-3.55, 2 Pm 3.54
Pm 0.7726 0.7726 0.8629  10 Tm 3.52-3.55, 2 Pm 3.54
Sm 0.5000 0.5000 0.5000  12 Tm 3.52-3.53
Tm 0.0446 0.0446 0.2267  9 Tm 3.51-3.53, 2 Sm 3.53, 1 Pm 3.54
Tm 0.1359 0.1359 0.6795  7 Tm 3.52-3.55, 2 Sm 3.52, 3 Pm 3.54-3.55
Tm 0.3186 0.3186 0.5924  8 Tm 3.52-3.55, 3 Pm 3.52-3.54, 1 Sm 3.53
Tm 0.4102 0.4102 0.0453  8 Tm 3.49-3.55, 1 Sm 3.53, 3 Pm 3.55
Tm 0.5898 0.5898 0.9547  8 Tm 3.49-3.55, 1 Sm 3.53, 3 Pm 3.55
Tm 0.6814 0.6814 0.4076  8 Tm 3.52-3.55, 3 Pm 3.52-3.54, 1 Sm 3.53
Tm 0.8641 0.8641 0.3205  7 Tm 3.52-3.55, 2 Sm 3.52, 3 Pm 3.54-3.55
Tm 0.9554 0.9554 0.7733  9 Tm 3.51-3.53, 2 Sm 3.53, 1 Pm 3.54


3.
Material: Pm19Sm4Tm6
Method: DFT, PBE
State: optimized geometry

Results
N(E_F) = 42.7 states/eV/cell
SG = No. 197
VASP energy = -4.32 eV per atom
ΔE_f = 0.37 eV per atom

abc: 10.9534 10.9534 10.9534
angles: 109.47 109.47 109.47
With the nearest neighbours (Å) after each atom.
Sites, in units of the cell vectors:
Pm 0.0000 0.0000 0.0000  6 Pm 3.31
Pm 0.0000 0.2619 0.2619  5 Pm 3.31-3.62, 2 Sm 3.39, 2 Tm 3.40
Pm 0.0000 0.7381 0.7381  5 Pm 3.31-3.62, 2 Sm 3.39, 2 Tm 3.40
Pm 0.0153 0.2191 0.6744  1 Tm 3.21, 2 Sm 3.37-3.47, 1 Pm 3.44
Pm 0.2037 0.9847 0.6590  1 Tm 3.21, 2 Sm 3.37-3.47, 1 Pm 3.44
Pm 0.2191 0.6744 0.0153  1 Tm 3.21, 2 Sm 3.37-3.47, 1 Pm 3.44
Pm 0.2619 0.0000 0.2619  5 Pm 3.31-3.62, 2 Sm 3.39, 2 Tm 3.40
Pm 0.2619 0.2619 0.0000  5 Pm 3.31-3.62, 2 Sm 3.39, 2 Tm 3.40
Pm 0.3256 0.5447 0.3410  1 Tm 3.21, 2 Sm 3.37-3.47, 1 Pm 3.44
Pm 0.3410 0.3256 0.5447  1 Tm 3.21, 2 Sm 3.37-3.47, 1 Pm 3.44
Pm 0.4553 0.7809 0.7963  1 Tm 3.21, 2 Sm 3.37-3.47, 1 Pm 3.44
Pm 0.5447 0.3410 0.3256  1 Tm 3.21, 2 Sm 3.37-3.47, 1 Pm 3.44
Pm 0.6590 0.2037 0.9847  1 Tm 3.21, 2 Sm 3.37-3.47, 1 Pm 3.44
Pm 0.6744 0.0153 0.2191  1 Tm 3.21, 2 Sm 3.37-3.47, 1 Pm 3.44
Pm 0.7381 0.0000 0.7381  5 Pm 3.31-3.62, 2 Sm 3.39, 2 Tm 3.40
Pm 0.7381 0.7381 0.0000  5 Pm 3.31-3.62, 2 Sm 3.39, 2 Tm 3.40
Pm 0.7809 0.7963 0.4553  1 Tm 3.21, 2 Sm 3.37-3.47, 1 Pm 3.44
Pm 0.7963 0.4553 0.7809  1 Tm 3.21, 2 Sm 3.37-3.47, 1 Pm 3.44
Pm 0.9847 0.6590 0.2037  1 Tm 3.21, 2 Sm 3.37-3.47, 1 Pm 3.44
Sm 0.0000 0.0000 0.3619  9 Pm 3.37-3.47
Sm 0.0000 0.3619 0.0000  9 Pm 3.37-3.47
Sm 0.3619 0.0000 0.0000  9 Pm 3.37-3.47
Sm 0.6381 0.6381 0.6381  9 Pm 3.37-3.47
Tm 0.1242 0.5000 0.6242  1 Tm 3.14, 4 Pm 3.21-3.40
Tm 0.3758 0.8758 0.5000  1 Tm 3.14, 4 Pm 3.21-3.40
Tm 0.5000 0.3758 0.8758  1 Tm 3.14, 4 Pm 3.21-3.40
Tm 0.5000 0.6242 0.1242  1 Tm 3.14, 4 Pm 3.21-3.40
Tm 0.6242 0.1242 0.5000  1 Tm 3.14, 4 Pm 3.21-3.40
Tm 0.8758 0.5000 0.3758  1 Tm 3.14, 4 Pm 3.21-3.40


4.
Material: Pm2Sm3Tm4
Method: DFT, PBE
State: optimized geometry

Results
N(E_F) = 12.4 states/eV/cell
SG = No. 12
Relative energy among the computed polymorphs = 0.00 kcal/mol of atoms
VASP energy = -4.59 eV per atom
ΔE_f = 0.02 eV per atom

abc: 7.9910 7.9910 7.9765
angles: 107.38 107.38 36.81
With the nearest neighbours (Å) after each atom.
Sites, in units of the cell vectors:
Pm 0.1664 0.1664 0.0004  5 Sm 3.57-3.59, 5 Tm 3.57-3.60, 2 Pm 3.58
Pm 0.8336 0.8336 0.9996  5 Sm 3.57-3.59, 5 Tm 3.57-3.60, 2 Pm 3.58
Sm 0.3890 0.3890 0.3357  7 Tm 3.53-3.58, 2 Sm 3.56-3.58, 3 Pm 3.58-3.59
Sm 0.5000 0.5000 0.0000  4 Pm 3.57, 6 Tm 3.58, 2 Sm 3.58
Sm 0.6110 0.6110 0.6643  7 Tm 3.53-3.58, 2 Sm 3.56-3.58, 3 Pm 3.58-3.59
Tm 0.0569 0.0569 0.3362  6 Sm 3.54-3.58, 4 Tm 3.55-3.56, 2 Pm 3.57-3.60
Tm 0.2783 0.2783 0.6640  4 Sm 3.53-3.58, 5 Tm 3.54-3.55, 3 Pm 3.58-3.60
Tm 0.7217 0.7217 0.3360  4 Sm 3.53-3.58, 5 Tm 3.54-3.55, 3 Pm 3.58-3.60
Tm 0.9431 0.9431 0.6638  6 Sm 3.54-3.58, 4 Tm 3.55-3.56, 2 Pm 3.57-3.60


5.
Material: Pm5Sm3Tm4
Method: DFT, PBE
State: optimized geometry

Results
N(E_F) = 19.5 states/eV/cell
SG = No. 12
VASP energy = -4.42 eV per atom
ΔE_f = 0.23 eV per atom

abc: 5.6607 5.6607 15.0398
angles: 106.00 106.00 61.97
With the nearest neighbours (Å) after each atom.
Sites, in units of the cell vectors:
Pm 0.0000 0.0000 0.0000  2 Sm 2.91, 2 Tm 3.21
Pm 0.3312 0.3312 0.5001  4 Pm 3.28-3.56, 1 Sm 3.56, 2 Tm 3.66
Pm 0.4543 0.4543 0.7502  4 Sm 3.30-3.64, 4 Tm 3.51-3.68, 1 Pm 3.56
Pm 0.5457 0.5457 0.2498  4 Sm 3.30-3.64, 4 Tm 3.51-3.68, 1 Pm 3.56
Pm 0.6688 0.6688 0.4999  4 Pm 3.28-3.56, 1 Sm 3.56, 2 Tm 3.66
Sm 0.2054 0.2054 0.2501  5 Pm 3.30-3.65, 4 Tm 3.52-3.68
Sm 0.5000 0.5000 0.0000  2 Pm 2.91, 2 Tm 3.22
Sm 0.7946 0.7946 0.7499  5 Pm 3.30-3.65, 4 Tm 3.52-3.68
Tm 0.0610 0.0610 0.6225  2 Tm 3.27-3.49, 2 Pm 3.66
Tm 0.1757 0.1757 0.8522  2 Pm 3.21-3.51, 2 Sm 3.22-3.52, 1 Tm 3.27
Tm 0.8243 0.8243 0.1478  2 Pm 3.21-3.51, 2 Sm 3.22-3.52, 1 Tm 3.27
Tm 0.9390 0.9390 0.3775  2 Tm 3.27-3.49, 2 Pm 3.66


6.
Material: Pm4SmTm6
Method: DFT, PBE
State: optimized geometry

Results
N(E_F) = 13.7 states/eV/cell
SG = No. 121
Relative energy among the computed polymorphs = 0.00 kcal/mol of atoms
VASP energy = -4.29 eV per atom
ΔE_f = 0.31 eV per atom

abc: 9.6596 9.6596 9.6596
angles: 139.91 139.91 57.99
With the nearest neighbours (Å) after each atom.
Sites, in units of the cell vectors:
Pm 0.1356 0.1356 0.6213  5 Tm 3.37-3.60, 1 Sm 3.45, 1 Pm 3.55
Pm 0.4857 0.8644 0.0000  5 Tm 3.37-3.60, 1 Sm 3.45, 1 Pm 3.55
Pm 0.5143 0.5143 0.3787  5 Tm 3.37-3.60, 1 Sm 3.45, 1 Pm 3.55
Pm 0.8644 0.4857 0.0000  5 Tm 3.37-3.60, 1 Sm 3.45, 1 Pm 3.55
Sm 0.5000 0.5000 0.0000  8 Tm 3.31-3.68, 4 Pm 3.45
Tm 0.0000 0.5000 0.5000  4 Tm 3.23, 2 Sm 3.31
Tm 0.0528 0.6963 0.0000  3 Tm 3.23-3.34, 5 Pm 3.37-3.60
Tm 0.3037 0.3037 0.3565  3 Tm 3.23-3.34, 5 Pm 3.37-3.60
Tm 0.5000 0.0000 0.5000  4 Tm 3.23, 2 Sm 3.31
Tm 0.6963 0.0528 0.0000  3 Tm 3.23-3.34, 5 Pm 3.37-3.60
Tm 0.9472 0.9472 0.6435  3 Tm 3.23-3.34, 5 Pm 3.37-3.60


7.
Material: Pm3Sm2Tm5
Method: DFT, PBE
State: optimized geometry

Results
N(E_F) = 33.0 states/eV/cell
SG = No. 15
Relative energy among the computed polymorphs = 0.00 kcal/mol of atoms
VASP energy = -4.42 eV per atom
ΔE_f = 0.19 eV per atom

abc: 9.5786 9.5786 9.3634
angles: 108.29 108.29 112.63
With the nearest neighbours (Å) after each atom.
Sites, in units of the cell vectors:
Pm 0.0309 0.2754 0.0487  1 Sm 3.11, 4 Tm 3.30-3.47
Pm 0.2307 0.7693 0.7500  3 Tm 3.26-3.63, 4 Sm 3.29-3.57, 2 Pm 3.56
Pm 0.2754 0.0309 0.5487  1 Sm 3.11, 4 Tm 3.30-3.47
Pm 0.7246 0.9691 0.4513  1 Sm 3.11, 4 Tm 3.30-3.47
Pm 0.7693 0.2307 0.2500  3 Tm 3.26-3.63, 4 Sm 3.29-3.57, 2 Pm 3.56
Pm 0.9691 0.7246 0.9513  1 Sm 3.11, 4 Tm 3.30-3.47
Sm 0.2332 0.4763 0.4520  2 Pm 3.11-3.29, 3 Tm 3.28-3.47
Sm 0.4763 0.2332 0.9520  2 Pm 3.11-3.29, 3 Tm 3.28-3.47
Sm 0.5237 0.7668 0.0480  2 Pm 3.11-3.29, 3 Tm 3.28-3.47
Sm 0.7668 0.5237 0.5480  2 Pm 3.11-3.29, 3 Tm 3.28-3.47
Tm 0.0263 0.9737 0.7500  5 Pm 3.26-3.47, 2 Sm 3.47, 2 Tm 3.47
Tm 0.1283 0.3583 0.7398  3 Tm 3.47-3.62, 3 Pm 3.49-3.63, 2 Sm 3.51-3.55
Tm 0.2700 0.7300 0.2500  3 Tm 3.27-3.62, 4 Pm 3.30-3.50, 2 Sm 3.50
Tm 0.3583 0.1283 0.2398  3 Tm 3.47-3.62, 3 Pm 3.49-3.63, 2 Sm 3.51-3.55
Tm 0.4752 0.5248 0.2500  3 Tm 3.27-3.48, 4 Sm 3.28-3.41, 2 Pm 3.42
Tm 0.5248 0.4752 0.7500  3 Tm 3.27-3.48, 4 Sm 3.28-3.41, 2 Pm 3.42
Tm 0.6417 0.8717 0.7602  3 Tm 3.47-3.62, 3 Pm 3.49-3.63, 2 Sm 3.51-3.55
Tm 0.7300 0.2700 0.7500  3 Tm 3.27-3.62, 4 Pm 3.30-3.50, 2 Sm 3.50
Tm 0.8717 0.6417 0.2602  3 Tm 3.47-3.62, 3 Pm 3.49-3.63, 2 Sm 3.51-3.55
Tm 0.9737 0.0263 0.2500  5 Pm 3.26-3.47, 2 Sm 3.47, 2 Tm 3.47


8.
Material: Pm2Sm7Tm2
Method: DFT, PBE
State: optimized geometry

Results
N(E_F) = 19.5 states/eV/cell
SG = No. 65
Relative energy among the computed polymorphs = 0.00 kcal/mol of atoms
VASP energy = -4.34 eV per atom
ΔE_f = 0.34 eV per atom

abc: 6.9221 6.9221 9.5324
angles: 90.00 90.00 122.52
With the nearest neighbours (Å) after each atom.
Sites, in units of the cell vectors:
Pm 0.2491 0.2491 0.0000  2 Pm 3.32-3.34, 6 Sm 3.48-3.51
Pm 0.7509 0.7509 0.0000  2 Pm 3.32-3.34, 6 Sm 3.48-3.51
Sm 0.0000 0.0000 0.5000  2 Tm 3.27
Sm 0.0000 0.5000 0.1857  5 Sm 3.33-3.69, 2 Tm 3.44, 2 Pm 3.51
Sm 0.0000 0.5000 0.8143  5 Sm 3.33-3.69, 2 Tm 3.44, 2 Pm 3.51
Sm 0.5000 0.0000 0.1857  5 Sm 3.33-3.69, 2 Tm 3.44, 2 Pm 3.51
Sm 0.5000 0.0000 0.8143  5 Sm 3.33-3.69, 2 Tm 3.44, 2 Pm 3.51
Sm 0.5000 0.5000 0.3201  2 Tm 3.28, 1 Sm 3.43, 2 Pm 3.48
Sm 0.5000 0.5000 0.6799  2 Tm 3.28, 1 Sm 3.43, 2 Pm 3.48
Tm 0.2695 0.7305 0.5000  7 Sm 3.27-3.44, 2 Tm 3.36
Tm 0.7305 0.2695 0.5000  7 Sm 3.27-3.44, 2 Tm 3.36


9.
Material: Pm3Sm8Tm2
Method: DFT, PBE
State: optimized geometry

Results
N(E_F) = 15.8 states/eV/cell
SG = No. 12
VASP energy = -4.47 eV per atom
ΔE_f = 0.22 eV per atom

abc: 8.7521 8.7521 7.0234
angles: 106.09 106.09 63.68
With the nearest neighbours (Å) after each atom.
Sites, in units of the cell vectors:
Pm 0.0000 0.0000 0.0000  6 Sm 3.16-3.48, 2 Tm 3.52
Pm 0.1731 0.8269 0.5000  1 Pm 3.20, 4 Sm 3.46-3.55
Pm 0.8269 0.1731 0.5000  1 Pm 3.20, 4 Sm 3.46-3.55
Sm 0.1910 0.1910 0.8949  1 Pm 3.16, 1 Tm 3.41, 3 Sm 3.45-3.48
Sm 0.1980 0.5594 0.8161  4 Sm 3.34-3.69, 2 Tm 3.43-3.51, 2 Pm 3.48-3.55
Sm 0.4110 0.4110 0.2748  6 Sm 3.40-3.78, 2 Pm 3.46, 1 Tm 3.49
Sm 0.4406 0.8020 0.1839  4 Sm 3.34-3.69, 2 Tm 3.43-3.51, 2 Pm 3.48-3.55
Sm 0.5594 0.1980 0.8161  4 Sm 3.34-3.69, 2 Tm 3.43-3.51, 2 Pm 3.48-3.55
Sm 0.5890 0.5890 0.7252  6 Sm 3.40-3.78, 2 Pm 3.46, 1 Tm 3.49
Sm 0.8020 0.4406 0.1839  4 Sm 3.34-3.69, 2 Tm 3.43-3.51, 2 Pm 3.48-3.55
Sm 0.8090 0.8090 0.1051  1 Pm 3.16, 1 Tm 3.41, 3 Sm 3.45-3.48
Tm 0.2082 0.2082 0.4220  7 Sm 3.41-3.63, 3 Pm 3.52-3.68
Tm 0.7918 0.7918 0.5780  7 Sm 3.41-3.63, 3 Pm 3.52-3.68